No. 1
The following is a DFT calculation (GGA-PBE) of a relaxed SrPd crystal.

Its calculated total energy is -3.85 eV per atom. The volume is 57.3 Å³ per cell. The space group is R-3m (166).

Cell and atoms, written as CIF:
```
data_SrPd
_symmetry_space_group_name_H-M 'P 1'
_symmetry_Int_Tables_number 1
_symmetry_space_group_name_Hall 'P 1'
_cell_length_a 4.4723
_cell_length_b 4.4723
_cell_length_c 4.4723
_cell_angle_alpha 55.95
_cell_angle_beta 55.95
_cell_angle_gamma 55.95
loop_
_atom_site_label
_atom_site_type_symbol
_atom_site_fract_x
_atom_site_fract_y
_atom_site_fract_z
Sr1 Sr 0.0000 0.0000 0.0000
Pd1 Pd 0.5000 0.5000 0.5000
```

=====

No. 2
The following is a DFT calculation (GGA-PBE) of a relaxed SrCuSb2 crystal.

Its calculated total energy is -3.46 eV per atom. The volume is 105.7 Å³ per cell. The space group is F-43m (216).

Cell and atoms, written as CIF:
```
data_SrCuSb2
_symmetry_space_group_name_H-M 'P 1'
_symmetry_Int_Tables_number 1
_symmetry_space_group_name_Hall 'P 1'
_cell_length_a 5.3070
_cell_length_b 5.3070
_cell_length_c 5.3070
_cell_angle_alpha 60.00
_cell_angle_beta 60.00
_cell_angle_gamma 60.00
loop_
_atom_site_label
_atom_site_type_symbol
_atom_site_fract_x
_atom_site_fract_y
_atom_site_fract_z
Sr1 Sr 0.0000 0.0000 0.0000
Cu1 Cu 0.2500 0.2500 0.2500
Sb1 Sb 0.5000 0.5000 0.5000
Sb2 Sb 0.7500 0.7500 0.7500
```

=====

No. 3
The following is a DFT calculation (GGA-PBE) of a relaxed Bi2MoIr crystal.

As for the total magnetic moment: 0.39 μB/atom. Its calculated total energy is -6.05 eV per atom. The volume is 85.3 Å³ per cell. The space group is F-43m (216).

Cell and atoms, written as CIF:
```
data_Bi2MoIr
_symmetry_space_group_name_H-M 'P 1'
_symmetry_Int_Tables_number 1
_symmetry_space_group_name_Hall 'P 1'
_cell_length_a 4.9416
_cell_length_b 4.9416
_cell_length_c 4.9416
_cell_angle_alpha 60.00
_cell_angle_beta 60.00
_cell_angle_gamma 60.00
loop_
_atom_site_label
_atom_site_type_symbol
_atom_site_fract_x
_atom_site_fract_y
_atom_site_fract_z
Bi1 Bi 0.0000 0.0000 0.0000
Bi2 Bi 0.2500 0.2500 0.2500
Mo1 Mo 0.5000 0.5000 0.5000
Ir1 Ir 0.7500 0.7500 0.7500
```

=====

No. 4
The following is a DFT calculation (GGA-PBE) of a relaxed Zn44Cu7 crystal.

Its calculated total energy is -1.62 eV per atom. The calculation puts the formation energy from the elements at -1.4 kJ per mole of atoms. The volume is 1463.4 Å³ per cell. The space group is F-43m (216).

Cell and atoms, written as CIF:
```
data_Zn44Cu7
_symmetry_space_group_name_H-M 'P 1'
_symmetry_Int_Tables_number 1
_symmetry_space_group_name_Hall 'P 1'
_cell_length_a 12.7435
_cell_length_b 12.7435
_cell_length_c 12.7435
_cell_angle_alpha 60.00
_cell_angle_beta 60.00
_cell_angle_gamma 60.00
loop_
_atom_site_label
_atom_site_type_symbol
_atom_site_fract_x
_atom_site_fract_y
_atom_site_fract_z
Zn1 Zn 0.0614 0.3129 0.3129
Zn2 Zn 0.0852 0.4515 0.7316
Zn3 Zn 0.0852 0.7316 0.4515
Zn4 Zn 0.0852 0.7316 0.7316
Zn5 Zn 0.0872 0.0872 0.3163
Zn6 Zn 0.0872 0.0872 0.5092
Zn7 Zn 0.0872 0.3163 0.0872
Zn8 Zn 0.0872 0.3163 0.5092
Zn9 Zn 0.0872 0.5092 0.0872
Zn10 Zn 0.0872 0.5092 0.3163
Zn11 Zn 0.1041 0.1041 0.8959
Zn12 Zn 0.1041 0.8959 0.1041
Zn13 Zn 0.1041 0.8959 0.8959
Zn14 Zn 0.2169 0.4679 0.4679
Zn15 Zn 0.2169 0.4679 0.8473
Zn16 Zn 0.2169 0.8473 0.4679
Zn17 Zn 0.2286 0.2286 0.6553
Zn18 Zn 0.2286 0.2286 0.8875
Zn19 Zn 0.2286 0.6553 0.2286
Zn20 Zn 0.2286 0.6553 0.8875
Zn21 Zn 0.2286 0.8875 0.2286
Zn22 Zn 0.2286 0.8875 0.6553
Zn23 Zn 0.2421 0.5860 0.5860
Zn24 Zn 0.3129 0.0614 0.3129
Zn25 Zn 0.3129 0.3129 0.0614
Zn26 Zn 0.3129 0.3129 0.3129
Zn27 Zn 0.3140 0.7515 0.9673
Zn28 Zn 0.3140 0.9673 0.7515
Zn29 Zn 0.3140 0.9673 0.9673
Zn30 Zn 0.3163 0.0872 0.0872
Zn31 Zn 0.3163 0.0872 0.5092
Zn32 Zn 0.3163 0.5092 0.0872
Zn33 Zn 0.4453 0.4453 0.4453
Zn34 Zn 0.4453 0.4453 0.6642
Zn35 Zn 0.4453 0.6642 0.4453
Zn36 Zn 0.4515 0.0852 0.7316
Zn37 Zn 0.4515 0.7316 0.0852
Zn38 Zn 0.4515 0.7316 0.7316
Zn39 Zn 0.4679 0.2169 0.4679
Zn40 Zn 0.4679 0.2169 0.8473
Zn41 Zn 0.4679 0.4679 0.2169
Zn42 Zn 0.4679 0.4679 0.8473
Zn43 Zn 0.4679 0.8473 0.2169
Zn44 Zn 0.4679 0.8473 0.4679
Zn45 Zn 0.5092 0.0872 0.0872
Zn46 Zn 0.5092 0.0872 0.3163
Zn47 Zn 0.5092 0.3163 0.0872
Zn48 Zn 0.5633 0.5633 0.9367
Zn49 Zn 0.5633 0.9367 0.5633
Zn50 Zn 0.5633 0.9367 0.9367
Zn51 Zn 0.5860 0.2421 0.5860
Zn52 Zn 0.5860 0.5860 0.2421
Zn53 Zn 0.5860 0.5860 0.5860
Zn54 Zn 0.6553 0.2286 0.2286
Zn55 Zn 0.6553 0.2286 0.8875
Zn56 Zn 0.6553 0.8875 0.2286
Zn57 Zn 0.6642 0.4453 0.4453
Zn58 Zn 0.6945 0.6945 0.6945
Zn59 Zn 0.6945 0.6945 0.9165
Zn60 Zn 0.6945 0.9165 0.6945
Zn61 Zn 0.7316 0.0852 0.4515
Zn62 Zn 0.7316 0.0852 0.7316
Zn63 Zn 0.7316 0.4515 0.0852
Zn64 Zn 0.7316 0.4515 0.7316
Zn65 Zn 0.7316 0.7316 0.0852
Zn66 Zn 0.7316 0.7316 0.4515
Zn67 Zn 0.7515 0.3140 0.9673
Zn68 Zn 0.7515 0.9673 0.3140
Zn69 Zn 0.7515 0.9673 0.9673
Zn70 Zn 0.8473 0.2169 0.4679
Zn71 Zn 0.8473 0.4679 0.2169
Zn72 Zn 0.8473 0.4679 0.4679
Zn73 Zn 0.8875 0.2286 0.2286
Zn74 Zn 0.8875 0.2286 0.6553
Zn75 Zn 0.8875 0.6553 0.2286
Zn76 Zn 0.8959 0.1041 0.1041
Zn77 Zn 0.8959 0.1041 0.8959
Zn78 Zn 0.8959 0.8959 0.1041
Zn79 Zn 0.9165 0.6945 0.6945
Zn80 Zn 0.9367 0.5633 0.5633
Zn81 Zn 0.9367 0.5633 0.9367
Zn82 Zn 0.9367 0.9367 0.5633
Zn83 Zn 0.9673 0.3140 0.7515
Zn84 Zn 0.9673 0.3140 0.9673
Zn85 Zn 0.9673 0.7515 0.3140
Zn86 Zn 0.9673 0.7515 0.9673
Zn87 Zn 0.9673 0.9673 0.3140
Zn88 Zn 0.9673 0.9673 0.7515
Cu1 Cu 0.1024 0.1024 0.1024
Cu2 Cu 0.1024 0.1024 0.6928
Cu3 Cu 0.1024 0.6928 0.1024
Cu4 Cu 0.3332 0.3332 0.6668
Cu5 Cu 0.3332 0.6668 0.3332
Cu6 Cu 0.3332 0.6668 0.6668
Cu7 Cu 0.5028 0.8324 0.8324
Cu8 Cu 0.6668 0.3332 0.3332
Cu9 Cu 0.6668 0.3332 0.6668
Cu10 Cu 0.6668 0.6668 0.3332
Cu11 Cu 0.6928 0.1024 0.1024
Cu12 Cu 0.8324 0.5028 0.8324
Cu13 Cu 0.8324 0.8324 0.5028
Cu14 Cu 0.8324 0.8324 0.8324
```

=====

No. 5
The following is a DFT calculation (GGA-PBE) of a relaxed NdBeNO crystal.

As for the total magnetic moment: 0.00 μB/atom. Its calculated total energy is -6.73 eV per atom. The volume is 109.3 Å³ per cell. The space group is P4/nmm (129).

Cell and atoms, written as CIF:
```
data_NdBeNO
_symmetry_space_group_name_H-M 'P 1'
_symmetry_Int_Tables_number 1
_symmetry_space_group_name_Hall 'P 1'
_cell_length_a 4.7896
_cell_length_b 4.7896
_cell_length_c 4.7631
_cell_angle_alpha 90.00
_cell_angle_beta 90.00
_cell_angle_gamma 90.00
loop_
_atom_site_label
_atom_site_type_symbol
_atom_site_fract_x
_atom_site_fract_y
_atom_site_fract_z
Nd1 Nd 0.2500 0.7500 0.0000
Nd2 Nd 0.7500 0.2500 0.0000
Be1 Be 0.2500 0.2500 0.4146
Be2 Be 0.7500 0.7500 0.5854
N1 N 0.2500 0.2500 0.0899
N2 N 0.7500 0.7500 0.9101
O1 O 0.2500 0.7500 0.5000
O2 O 0.7500 0.2500 0.5000
```

=====

No. 6
The following is a DFT calculation (GGA-PBE) of a relaxed Tb2SmMg3Ir2Pt crystal.

As for the total magnetic moment: 0.00 μB/atom. Its calculated total energy is -5.48 eV per atom. The volume is 190.6 Å³ per cell. The space group is Amm2 (38).

Cell and atoms, written as CIF:
```
data_Tb2SmMg3Ir2Pt
_symmetry_space_group_name_H-M 'P 1'
_symmetry_Int_Tables_number 1
_symmetry_space_group_name_Hall 'P 1'
_cell_length_a 4.0520
_cell_length_b 7.3742
_cell_length_c 7.3742
_cell_angle_alpha 120.14
_cell_angle_beta 90.00
_cell_angle_gamma 90.00
loop_
_atom_site_label
_atom_site_type_symbol
_atom_site_fract_x
_atom_site_fract_y
_atom_site_fract_z
Tb1 Tb 0.0000 0.2063 0.7937
Tb2 Tb 0.0000 0.7937 0.2063
Sm1 Sm 0.0000 0.6213 0.6213
Mg1 Mg 0.5000 0.2054 0.4529
Mg2 Mg 0.5000 0.4529 0.2054
Mg3 Mg 0.5000 0.9601 0.9601
Ir1 Ir 0.5000 0.5385 0.8761
Ir2 Ir 0.5000 0.8761 0.5385
Pt1 Pt 0.0000 0.2037 0.2037
```

=====

No. 7
The following is a DFT calculation (GGA-PBE) of a relaxed SrMgSiPt crystal.

As for the total magnetic moment: 0.00 μB/atom. Its calculated total energy is -3.93 eV per atom. The volume is 85.2 Å³ per cell. The space group is F-43m (216).

Cell and atoms, written as CIF:
```
data_SrMgSiPt
_symmetry_space_group_name_H-M 'P 1'
_symmetry_Int_Tables_number 1
_symmetry_space_group_name_Hall 'P 1'
_cell_length_a 4.9389
_cell_length_b 4.9389
_cell_length_c 4.9389
_cell_angle_alpha 60.00
_cell_angle_beta 60.00
_cell_angle_gamma 60.00
loop_
_atom_site_label
_atom_site_type_symbol
_atom_site_fract_x
_atom_site_fract_y
_atom_site_fract_z
Sr1 Sr 0.0000 0.0000 0.0000
Mg1 Mg 0.5000 0.5000 0.5000
Si1 Si 0.2500 0.2500 0.2500
Pt1 Pt 0.7500 0.7500 0.7500
```

=====

No. 8
The following is a DFT calculation (GGA-PBE) of a relaxed Gd3Tm3Te2Os crystal.

As for the total magnetic moment: 0.00 μB/atom. Its calculated total energy is -5.65 eV per atom. The volume is 241.0 Å³ per cell. The space group is P-62m (189).

Cell and atoms, written as CIF:
```
data_Gd3Tm3Te2Os
_symmetry_space_group_name_H-M 'P 1'
_symmetry_Int_Tables_number 1
_symmetry_space_group_name_Hall 'P 1'
_cell_length_a 8.3117
_cell_length_b 8.3117
_cell_length_c 4.0275
_cell_angle_alpha 90.00
_cell_angle_beta 90.00
_cell_angle_gamma 120.00
loop_
_atom_site_label
_atom_site_type_symbol
_atom_site_fract_x
_atom_site_fract_y
_atom_site_fract_z
Gd1 Gd 0.0000 0.2439 0.0000
Gd2 Gd 0.2439 0.0000 0.0000
Gd3 Gd 0.7561 0.7561 0.0000
Tm1 Tm 0.0000 0.6130 0.5000
Tm2 Tm 0.3870 0.3870 0.5000
Tm3 Tm 0.6130 0.0000 0.5000
Te1 Te 0.3333 0.6667 0.0000
Te2 Te 0.6667 0.3333 0.0000
Os1 Os 0.0000 0.0000 0.5000
```

=====

No. 9
The following is a DFT calculation (GGA-PBE) of a relaxed Nb4CdPC2 crystal.

As for the total magnetic moment: 0.00 μB/atom. Its calculated total energy is -8.70 eV per atom. The volume is 119.8 Å³ per cell. The space group is P-6m2 (187).

Cell and atoms, written as CIF:
```
data_Nb4CdPC2
_symmetry_space_group_name_H-M 'P 1'
_symmetry_Int_Tables_number 1
_symmetry_space_group_name_Hall 'P 1'
_cell_length_a 3.2564
_cell_length_b 3.2564
_cell_length_c 13.0418
_cell_angle_alpha 90.00
_cell_angle_beta 90.00
_cell_angle_gamma 120.00
loop_
_atom_site_label
_atom_site_type_symbol
_atom_site_fract_x
_atom_site_fract_y
_atom_site_fract_z
Nb1 Nb 0.0000 0.0000 0.1328
Nb2 Nb 0.0000 0.0000 0.8672
Nb3 Nb 0.3333 0.6667 0.3129
Nb4 Nb 0.3333 0.6667 0.6871
Cd1 Cd 0.0000 0.0000 0.5000
P1 P 0.3333 0.6667 0.0000
C1 C 0.6667 0.3333 0.2297
C2 C 0.6667 0.3333 0.7703
```

=====

No. 10
The following is a DFT calculation (GGA-PBE) of a relaxed SrHfHg crystal.

As for the total magnetic moment: 0.00 μB/atom. Its calculated total energy is -3.47 eV per atom. The volume is 93.7 Å³ per cell. The space group is F-43m (216).

Cell and atoms, written as CIF:
```
data_SrHfHg
_symmetry_space_group_name_H-M 'P 1'
_symmetry_Int_Tables_number 1
_symmetry_space_group_name_Hall 'P 1'
_cell_length_a 5.0985
_cell_length_b 5.0985
_cell_length_c 5.0985
_cell_angle_alpha 60.00
_cell_angle_beta 60.00
_cell_angle_gamma 60.00
loop_
_atom_site_label
_atom_site_type_symbol
_atom_site_fract_x
_atom_site_fract_y
_atom_site_fract_z
Sr1 Sr 0.0000 0.0000 0.0000
Hf1 Hf 0.5000 0.5000 0.5000
Hg1 Hg 0.7500 0.7500 0.7500
```

=====

No. 11
The following is a DFT calculation (GGA-PBE) of a relaxed CsTaAsO crystal.

As for the total magnetic moment: 0.00 μB/atom. Its calculated total energy is -5.65 eV per atom. The volume is 206.5 Å³ per cell. The space group is P4/nmm (129).

Cell and atoms, written as CIF:
```
data_CsTaAsO
_symmetry_space_group_name_H-M 'P 1'
_symmetry_Int_Tables_number 1
_symmetry_space_group_name_Hall 'P 1'
_cell_length_a 4.2155
_cell_length_b 4.2155
_cell_length_c 11.6210
_cell_angle_alpha 90.00
_cell_angle_beta 90.00
_cell_angle_gamma 90.00
loop_
_atom_site_label
_atom_site_type_symbol
_atom_site_fract_x
_atom_site_fract_y
_atom_site_fract_z
Cs1 Cs 0.2500 0.2500 0.1587
Cs2 Cs 0.7500 0.7500 0.8414
Ta1 Ta 0.2500 0.7500 0.5000
Ta2 Ta 0.7500 0.2500 0.5000
As1 As 0.2500 0.2500 0.6312
As2 As 0.7500 0.7500 0.3688
O1 O 0.2500 0.7500 0.0000
O2 O 0.7500 0.2500 0.0000
```

=====

No. 12
The following is a DFT calculation (GGA-PBE) of a relaxed PaPbCl6 crystal.

As for the total magnetic moment: 0.12 μB/atom. Its calculated total energy is -4.64 eV per atom. The volume is 270.5 Å³ per cell. The space group is C2/m (12).

Cell and atoms, written as CIF:
```
data_PaPbCl6
_symmetry_space_group_name_H-M 'P 1'
_symmetry_Int_Tables_number 1
_symmetry_space_group_name_Hall 'P 1'
_cell_length_a 6.7618
_cell_length_b 6.7618
_cell_length_c 6.9425
_cell_angle_alpha 97.91
_cell_angle_beta 97.91
_cell_angle_gamma 117.86
loop_
_atom_site_label
_atom_site_type_symbol
_atom_site_fract_x
_atom_site_fract_y
_atom_site_fract_z
Pa1 Pa 0.0000 0.0000 0.0000
Pb1 Pb 0.5000 0.5000 0.5000
Cl1 Cl 0.0688 0.3816 0.2361
Cl2 Cl 0.2468 0.2468 0.7701
Cl3 Cl 0.3816 0.0688 0.2361
Cl4 Cl 0.6184 0.9312 0.7639
Cl5 Cl 0.7532 0.7532 0.2299
Cl6 Cl 0.9312 0.6184 0.7639
```